Compound: BeCd2Ru
Source: Alexandria via LeMat-Bulk
Functional: PBE
Structure: optimized geometry

Properties
* SG: Cmmm (65)
* M_tot: 2.00 μB/cell
* DFT formation energy: 420 meV per atom

Cell and atoms, written as POSCAR:
```
BeCd2Ru
1.0
5.4623 0.0000 0.0000
0.0000 8.2115 0.0000
0.0000 0.0000 2.9110
Be Cd Ru
2 4 2
Cartesian
0.0000 0.0000 0.0000 Be
2.7312 4.1057 0.0000 Be
1.3656 2.0529 1.4555 Cd
1.3656 6.1586 1.4555 Cd
4.0967 2.0529 1.4555 Cd
4.0967 6.1586 1.4555 Cd
0.0000 4.1057 0.0000 Ru
2.7312 0.0000 0.0000 Ru
```

Compound: Pm2BeAl4Pd3
Source: Alexandria via LeMat-Bulk
Functional: PBE
Structure: optimized geometry

Properties
* SG: P-4m2 (115)
* M_tot: 0.00 μB/cell
* DFT formation energy: -695 meV per atom

Cell and atoms, written as POSCAR:
```
Pm2BeAl4Pd3
1.0
4.2372 0.0000 0.0000
0.0000 4.2372 0.0000
0.0000 0.0000 10.4816
Pm Be Al Pd
2 1 4 3
Cartesian
0.0000 2.1186 2.5315 Pm
2.1186 0.0000 7.9501 Pm
2.1186 2.1186 0.0000 Be
0.0000 0.0000 5.2408 Al
0.0000 2.1186 9.1785 Al
2.1186 0.0000 1.3031 Al
2.1186 2.1186 5.2408 Al
0.0000 0.0000 0.0000 Pd
0.0000 2.1186 6.6503 Pd
2.1186 0.0000 3.8312 Pd
```

Compound: GdCdRh
Source: Alexandria via LeMat-Bulk
Functional: PBE
Structure: optimized geometry

Properties
* SG: P-6m2 (187)
* M_tot: 7.17 μB/cell
* DFT formation energy: -398 meV per atom

Cell and atoms, written as POSCAR:
```
GdCdRh
1.0
4.7101 0.0000 0.0000
-2.3551 4.0791 0.0000
0.0000 0.0000 3.4075
Gd Cd Rh
1 1 1
Cartesian
0.0000 0.0000 0.0000 Gd
2.3551 1.3597 1.7037 Cd
0.0000 2.7194 1.7037 Rh
```